No. 1
Compound: Ba2AgSn
Source: Alexandria
Functional: GGA-PBE
Structure: optimized geometry

Summary:
For the formation enthalpy at 0 K, the calculation gives -174 kJ/mol of formula units.

Lattice parameters (Å, degrees): 6.8044 5.0745 9.6971 90.00 110.33 90.00
With the nearest neighbours (Å) after each atom.
Positions (direct):
Ba: 0.2086 0.2500 0.4273  3 Ag 3.50-3.68, 4 Sn 3.62-3.67
Ba: 0.2882 0.7500 0.0678  3 Ag 3.45-3.66, 3 Sn 3.60-3.62
Ba: 0.7118 0.2500 0.9322  3 Ag 3.45-3.66, 3 Sn 3.60-3.62
Ba: 0.7914 0.7500 0.5727  3 Ag 3.50-3.68, 4 Sn 3.62-3.67
Ag: 0.1729 0.2500 0.7783  2 Sn 2.99
Ag: 0.8271 0.7500 0.2217  2 Sn 2.99
Sn: 0.3586 0.7500 0.7168  2 Ag 2.99
Sn: 0.6414 0.2500 0.2832  2 Ag 2.99


No. 2
Compound: Cu2SnBr
Source: Alexandria
Functional: GGA-PBE
Structure: optimized geometry

Summary:
The distance to the lowest polymorph of the same formula is 0 meV per atom.

Lattice parameters (Å, degrees): 6.4850 6.4850 6.4850 120.56 120.56 89.03
With the nearest neighbours (Å) after each atom.
Positions (direct):
Cu: 0.1165 0.6250 0.9915  2 Br 2.52, 2 Sn 2.59
Cu: 0.3750 0.3665 0.4915  2 Br 2.52, 2 Sn 2.59
Cu: 0.6335 0.1250 0.0085  2 Br 2.52, 2 Sn 2.59
Cu: 0.8750 0.8835 0.5085  2 Br 2.52, 2 Sn 2.59
Sn: 0.2500 0.7500 0.5000  4 Cu 2.59
Sn: 0.5000 0.5000 0.0000  4 Cu 2.59
Br: 0.0000 0.0000 0.0000  4 Cu 2.52
Br: 0.7500 0.2500 0.5000  4 Cu 2.52


No. 3
Compound: Sc3NbTc
Source: Alexandria
Functional: GGA-PBE
Structure: optimized geometry

Summary:
The distance to the lowest polymorph of the same formula is 0 meV per atom. For the formation enthalpy at 0 K, the calculation gives 274 kJ/mol of formula units.

Lattice parameters (Å, degrees): 4.9175 4.9175 4.9175 90.00 90.00 90.00
With the nearest neighbours (Å) after each atom.
Positions (direct):
Sc: 0.0000 0.0000 0.5000  2 Tc 2.46
Sc: 0.0000 0.5000 0.0000  2 Tc 2.46
Sc: 0.5000 0.0000 0.0000  2 Tc 2.46
Nb: 0.5000 0.5000 0.5000  12 Sc 3.48
Tc: 0.0000 0.0000 0.0000  6 Sc 2.46


No. 4
Compound: Al5Co4Ir
Source: Alexandria
Functional: GGA-PBE
Structure: optimized geometry

Summary:
For the formation enthalpy at 0 K, the calculation gives -646 kJ/mol of formula units.

Lattice parameters (Å, degrees): 2.9008 2.9008 14.3595 90.00 90.00 90.00
With the nearest neighbours (Å) after each atom.
Positions (direct):
Al: 0.0000 0.0000 0.0000  8 Co 2.49
Al: 0.0000 0.0000 0.1954  8 Co 2.48-2.49
Al: 0.0000 0.0000 0.3901  4 Co 2.47, 4 Ir 2.59
Al: 0.0000 0.0000 0.6099  4 Co 2.47, 4 Ir 2.59
Al: 0.0000 0.0000 0.8046  8 Co 2.48-2.49
Co: 0.5000 0.5000 0.0980  8 Al 2.48-2.49
Co: 0.5000 0.5000 0.2937  8 Al 2.47-2.49
Co: 0.5000 0.5000 0.7063  8 Al 2.47-2.49
Co: 0.5000 0.5000 0.9020  8 Al 2.48-2.49
Ir: 0.5000 0.5000 0.5000  8 Al 2.59


No. 5
Compound: Cd7Hg5
Source: Alexandria
Functional: GGA-PBE
Structure: optimized geometry

Summary:
For the formation enthalpy at 0 K, the calculation gives 18 kJ/mol of formula units.

Lattice parameters (Å, degrees): 7.8242 7.8242 10.6779 93.42 93.42 26.12
With the nearest neighbours (Å) after each atom.
Positions (direct):
Cd: 0.0000 0.0000 0.0000  6 Hg 2.99-3.09
Cd: 0.1668 0.1668 0.5009  7 Cd 3.04-3.35, 3 Hg 3.05-3.10
Cd: 0.2531 0.2531 0.2518  5 Cd 3.04-3.35, 5 Hg 3.07-3.36
Cd: 0.4147 0.4147 0.7459  4 Hg 2.98-3.10, 2 Cd 3.11
Cd: 0.5853 0.5853 0.2541  4 Hg 2.98-3.10, 2 Cd 3.11
Cd: 0.7469 0.7469 0.7482  5 Cd 3.04-3.35, 5 Hg 3.07-3.36
Cd: 0.8332 0.8332 0.4991  7 Cd 3.04-3.35, 3 Hg 3.05-3.10
Hg: 0.0822 0.0822 0.7526  6 Cd 2.99-3.10
Hg: 0.3333 0.3333 0.9931  4 Cd 2.98-3.09, 2 Hg 3.10
Hg: 0.5000 0.5000 0.5000  6 Cd 3.00-3.10
Hg: 0.6667 0.6667 0.0069  4 Cd 2.98-3.09, 2 Hg 3.10
Hg: 0.9178 0.9178 0.2474  6 Cd 2.99-3.10


No. 6
Compound: LaTbYCd
Source: Alexandria
Functional: GGA-PBE
Structure: optimized geometry

Summary:
The distance to the lowest polymorph of the same formula is 114 meV per atom. For the formation enthalpy at 0 K, the calculation gives -14 kJ/mol of formula units.

Lattice parameters (Å, degrees): 5.5648 5.5648 5.5648 60.00 60.00 60.00
With the nearest neighbours (Å) after each atom.
Positions (direct):
La: 0.0000 0.0000 0.0000  4 Tb 3.41, 4 Cd 3.41
Tb: 0.2500 0.2500 0.2500  4 Y 3.41, 4 La 3.41
Y: 0.5000 0.5000 0.5000  4 Cd 3.41, 4 Tb 3.41
Cd: 0.7500 0.7500 0.7500  4 La 3.41, 4 Y 3.41


No. 7
Compound: Ge2SeS
Source: Alexandria
Functional: GGA-PBE
Structure: optimized geometry

Summary:
The distance to the lowest polymorph of the same formula is 45 meV per atom.

Lattice parameters (Å, degrees): 8.3224 8.3224 8.3224 26.08 26.08 26.08
With the nearest neighbours (Å) after each atom.
Positions (direct):
Ge: 0.0000 0.0000 0.0000  3 S 2.50
Ge: 0.1702 0.1702 0.1702  3 Se 2.60
Se: 0.5634 0.5634 0.5634  3 Ge 2.60
S: 0.3852 0.3852 0.3852  3 Ge 2.50


No. 8
Compound: Na5Cd4Hg2
Source: Alexandria
Functional: GGA-PBE
Structure: optimized geometry

Summary:
For the formation enthalpy at 0 K, the calculation gives -131 kJ/mol of formula units.

Lattice parameters (Å, degrees): 7.4691 17.3350 4.5302 90.00 90.00 90.00
With the nearest neighbours (Å) after each atom.
Positions (direct):
Na: 0.0000 0.0000 0.0000  8 Cd 3.23-3.30, 2 Na 3.34
Na: 0.0992 0.4146 0.0000  2 Hg 3.12, 6 Cd 3.27-3.36, 2 Na 3.31-3.34
Na: 0.1984 0.1999 0.0000  4 Hg 3.19-3.21, 4 Cd 3.41-3.52
Na: 0.3016 0.6999 0.0000  4 Hg 3.19-3.21, 4 Cd 3.41-3.52
Na: 0.4008 0.9146 0.0000  2 Hg 3.12, 6 Cd 3.27-3.36, 2 Na 3.31-3.34
Na: 0.5000 0.5000 0.0000  8 Cd 3.23-3.30, 2 Na 3.34
Na: 0.5992 0.0854 0.0000  2 Hg 3.12, 6 Cd 3.27-3.36, 2 Na 3.31-3.34
Na: 0.6984 0.3001 0.0000  4 Hg 3.19-3.21, 4 Cd 3.41-3.52
Na: 0.8016 0.8001 0.0000  4 Hg 3.19-3.21, 4 Cd 3.41-3.52
Na: 0.9008 0.5854 0.0000  2 Hg 3.12, 6 Cd 3.27-3.36, 2 Na 3.31-3.34
Cd: 0.1028 0.8687 0.5000  2 Hg 3.00-3.18, 1 Cd 3.24, 4 Na 3.27-3.30
Cd: 0.2138 0.5489 0.5000  1 Hg 3.11, 6 Na 3.23-3.36, 2 Cd 3.24-3.41
Cd: 0.2862 0.0489 0.5000  1 Hg 3.11, 6 Na 3.23-3.36, 2 Cd 3.24-3.41
Cd: 0.3972 0.3687 0.5000  2 Hg 3.00-3.18, 1 Cd 3.24, 4 Na 3.27-3.30
Cd: 0.6028 0.6313 0.5000  2 Hg 3.00-3.18, 1 Cd 3.24, 4 Na 3.27-3.30
Cd: 0.7138 0.9511 0.5000  1 Hg 3.11, 6 Na 3.23-3.36, 2 Cd 3.24-3.41
Cd: 0.7862 0.4511 0.5000  1 Hg 3.11, 6 Na 3.23-3.36, 2 Cd 3.24-3.41
Cd: 0.8972 0.1313 0.5000  2 Hg 3.00-3.18, 1 Cd 3.24, 4 Na 3.27-3.30
Hg: 0.0037 0.2983 0.5000  3 Cd 3.00-3.18, 6 Na 3.12-3.21
Hg: 0.4963 0.7983 0.5000  3 Cd 3.00-3.18, 6 Na 3.12-3.21
Hg: 0.5037 0.2017 0.5000  3 Cd 3.00-3.18, 6 Na 3.12-3.21
Hg: 0.9963 0.7017 0.5000  3 Cd 3.00-3.18, 6 Na 3.12-3.21


Number 1: DOS at the Fermi energy 3.375 states/eV/f.u., theoretical density 5.3 g/cm³. Number 2: DOS at the Fermi energy 0.792 states/eV/f.u., theoretical density 5.7 g/cm³. Number 3: DOS at the Fermi energy 5.665 states/eV/f.u., theoretical density 4.5 g/cm³. Number 4: DOS at the Fermi energy 4.061 states/eV/f.u., theoretical density 7.7 g/cm³. Number 5: DOS at the Fermi energy 2.923 states/eV/f.u., theoretical density 10.3 g/cm³. Number 6: DOS at the Fermi energy 5.695 states/eV/f.u., theoretical density 6.8 g/cm³. Number 7: DOS at the Fermi energy 0.080 states/eV/f.u., theoretical density 4.3 g/cm³. Number 8: DOS at the Fermi energy 4.139 states/eV/f.u., theoretical density 5.5 g/cm³.